Record 1
A geometry-optimized Pm4SbPbN structure, computed with GGA-PBE.

Output
As for the uncorrected formation energy: -0.923 eV per atom. The theoretical density comes out at 7.87 g/cm3.

Cell: 6.875 6.868 8.933 Å, 90.00 112.63 90.00°
Element x y z (fractional)
N  0.750  0.250  0.501
N  0.250  0.750  0.499
Pm  0.000  0.000  0.500
Pm  0.500  0.500  0.500
Pm  0.589  0.250  0.178
Pm  0.500  0.000  0.500
Pm  0.411  0.750  0.822
Pm  0.000  0.500  0.500
Pm  0.909  0.250  0.818
Pm  0.091  0.750  0.182
Sb  0.609  0.750  0.218
Sb  0.391  0.250  0.782
Pb  0.895  0.750  0.790
Pb  0.105  0.250  0.210



Record 2
A geometry-optimized CsRbCd2Pt structure, computed with GGA-PBE.

Output
The value obtained for the energy above the most stable polymorph in this dataset is 0.0 meV per atom. For the calculated formation energy, the calculation gives -0.114 eV per atom. The theoretical density comes out at 5.71 g/cm3.

Cell: 5.480 5.480 6.185 Å, 90.00 90.00 90.00°
Element x y z (fractional)
Cd  0.000  0.500  0.000
Cd  0.500  0.000  0.000
Pt  0.000  0.000  0.000
Cs  0.500  0.500  0.500
Rb  0.000  0.000  0.500



Record 3
A geometry-optimized TaGeAsBr2 structure, computed with GGA-PBE.

Output
The value obtained for the energy above the most stable polymorph in this dataset is 700.7 meV per atom. As for the uncorrected formation energy: 1.068 eV per atom. The theoretical density comes out at 6.16 g/cm3.

Cell: 5.034 5.034 5.195 Å, 90.00 90.00 90.00°
Site moments in Bohr magnetons follow the coordinates.
Element x y z (fractional)
Br  0.500  0.000  0.000  -0.03
Br  0.000  0.500  0.000  -0.03
Ge  0.000  0.000  0.000  -0.02
Ta  0.500  0.500  0.500  1.96
As  0.000  0.000  0.500  -0.21



Record 4
A geometry-optimized MgZrBr structure, computed with GGA-PBE.

Output
The value obtained for the energy above the most stable polymorph in this dataset is 776.5 meV per atom. As for the uncorrected formation energy: 0.324 eV per atom. The theoretical density comes out at 4.52 g/cm3.

Cell: 4.666 4.666 4.666 Å, 60.00 60.00 60.00°
Site moments in Bohr magnetons follow the coordinates.
Element x y z (fractional)
Br  0.250  0.250  0.250  0.00
Zr  0.500  0.500  0.500  0.33
Mg  0.000  0.000  0.000  0.00



Record 5
A geometry-optimized MnHgI3 structure, computed with GGA-PBE.

Output
The value obtained for the energy above the most stable polymorph in this dataset is 205.0 meV per atom. As for the uncorrected formation energy: -0.141 eV per atom. The theoretical density comes out at 5.30 g/cm3.

Cell: 5.227 5.227 7.297 Å, 90.00 90.00 90.00°
Site moments in Bohr magnetons follow the coordinates.
Element x y z (fractional)
Hg  0.500  0.500  0.742  -0.09
I  0.000  0.000  0.794  -0.03
I  0.500  0.000  0.287  0.00
I  0.000  0.500  0.287  0.00
Mn  0.000  0.000  0.154  4.11



Record 6
A geometry-optimized FeOs2Rh structure, computed with GGA-PBE.

Output
The value obtained for the energy above the most stable polymorph in this dataset is 39.2 meV per atom. For the calculated formation energy, the calculation gives 0.118 eV per atom. The theoretical density comes out at 16.12 g/cm3.

Cell: 8.828 8.828 8.828 Å, 17.70 17.70 17.70°
Site moments in Bohr magnetons follow the coordinates.
Element x y z (fractional)
Fe  0.750  0.750  0.750  2.65
Rh  0.498  0.498  0.498  0.30
Os  0.251  0.251  0.251  -0.11
Os  0.001  0.001  0.001  -0.12



The highest theoretical density belongs to which entry?
FeOs2Rh



Look up the theoretical density of the second one.
5.71 g/cm3



Repeat the fourth record exactly.
A geometry-optimized MgZrBr structure, computed with GGA-PBE.

Output
The value obtained for the energy above the most stable polymorph in this dataset is 776.5 meV per atom. As for the uncorrected formation energy: 0.324 eV per atom. The theoretical density comes out at 4.52 g/cm3.

Cell: 4.666 4.666 4.666 Å, 60.00 60.00 60.00°
Site moments in Bohr magnetons follow the coordinates.
Element x y z (fractional)
Br  0.250  0.250  0.250  0.00
Zr  0.500  0.500  0.500  0.33
Mg  0.000  0.000  0.000  0.00